# GGA-PBE NbNi2Ru2, optimized geometry
# **Density of states at the Fermi level**: 11.782 states/eV per cell
# **ΔH_f (0 K)**: 5 kJ/mol of atoms
data_NbNi2Ru2
_cell_length_a 7.0198
_cell_length_b 7.0198
_cell_length_c 2.7741
_cell_angle_alpha 90.00
_cell_angle_beta 90.00
_cell_angle_gamma 90.00
_symmetry_space_group_name_H-M 'P 4/m b m'
_symmetry_Int_Tables_number 127
_symmetry_space_group_name_Hall '-P 4 2ab'
loop_
_atom_site_label
_atom_site_type_symbol
_atom_site_fract_x
_atom_site_fract_y
_atom_site_fract_z
_atom_site_occupancy
Nb1 Nb 0.0000 0.0000 0.0000 1
Ni1 Ni 0.1216 0.3784 0.0000 1
Ru1 Ru 0.1736 0.6736 0.5000 1

# GGA-PBE NbNiRu2, optimized geometry
# **Density of states at the Fermi level**: 3.683 states/eV per cell
# **ΔH_f (0 K)**: -20 kJ/mol of atoms
data_NbNiRu2
_cell_length_a 3.8663
_cell_length_b 3.8663
_cell_length_c 3.7835
_cell_angle_alpha 90.00
_cell_angle_beta 90.00
_cell_angle_gamma 90.00
_symmetry_space_group_name_H-M 'P 4/m m m'
_symmetry_Int_Tables_number 123
_symmetry_space_group_name_Hall '-P 4 2'
loop_
_atom_site_label
_atom_site_type_symbol
_atom_site_fract_x
_atom_site_fract_y
_atom_site_fract_z
_atom_site_occupancy
Nb1 Nb 0.0000 0.0000 0.0000 1
Ni1 Ni 0.5000 0.5000 0.0000 1
Ru1 Ru 0.0000 0.5000 0.5000 1

# GGA-PBE NbNiRu, optimized geometry
# **Density of states at the Fermi level**: 10.285 states/eV per cell
# **ΔH_f (0 K)**: -14 kJ/mol of atoms
data_NbNiRu
_cell_length_a 4.4011
_cell_length_b 4.7493
_cell_length_c 8.2944
_cell_angle_alpha 90.00
_cell_angle_beta 90.00
_cell_angle_gamma 90.00
_symmetry_space_group_name_H-M 'A m a 2'
_symmetry_Int_Tables_number 40
loop_
_symmetry_equiv_pos_as_xyz
'x,y,z'
'-x,-y,z'
'-x+1/2,y,z'
'x+1/2,-y,z'
'x,y+1/2,z+1/2'
'-x,-y+1/2,z+1/2'
'-x+1/2,y+1/2,z+1/2'
'x+1/2,-y+1/2,z+1/2'
loop_
_atom_site_label
_atom_site_type_symbol
_atom_site_fract_x
_atom_site_fract_y
_atom_site_fract_z
_atom_site_occupancy
Nb1 Nb 0.2500 0.2077 0.0000 1
Ni1 Ni 0.2500 0.1652 0.3239 1
Ru1 Ru 0.2500 0.1758 0.6707 1

# GGA-PBE NbNiRu, optimized geometry
# **Density of states at the Fermi level**: 4.234 states/eV per cell
# **ΔH_f (0 K)**: 2 kJ/mol of atoms
data_NbNiRu
_cell_length_a 4.2688
_cell_length_b 4.2688
_cell_length_c 2.7812
_cell_angle_alpha 90.00
_cell_angle_beta 90.00
_cell_angle_gamma 120.00
_symmetry_space_group_name_H-M 'P -6 m 2'
_symmetry_Int_Tables_number 187
_symmetry_space_group_name_Hall 'P -6 2'
loop_
_atom_site_label
_atom_site_type_symbol
_atom_site_fract_x
_atom_site_fract_y
_atom_site_fract_z
_atom_site_occupancy
Nb1 Nb 0.0000 0.0000 0.0000 1
Ni1 Ni 0.3333 0.6667 0.5000 1
Ru1 Ru 0.6667 0.3333 0.5000 1

# GGA-PBE Nb3NiRu, optimized geometry
# **Density of states at the Fermi level**: 7.277 states/eV per cell
# **ΔH_f (0 K)**: 95 kJ/mol of atoms
data_Nb3NiRu
_cell_length_a 4.5532
_cell_length_b 4.5532
_cell_length_c 4.5532
_cell_angle_alpha 90.00
_cell_angle_beta 90.00
_cell_angle_gamma 90.00
_symmetry_space_group_name_H-M 'P m -3 m'
_symmetry_Int_Tables_number 221
_symmetry_space_group_name_Hall '-P 4 2 3'
loop_
_atom_site_label
_atom_site_type_symbol
_atom_site_fract_x
_atom_site_fract_y
_atom_site_fract_z
_atom_site_occupancy
Nb1 Nb 0.0000 0.0000 0.5000 1
Ni1 Ni 0.0000 0.0000 0.0000 1
Ru1 Ru 0.5000 0.5000 0.5000 1

# GGA-PBE NbNiRu, optimized geometry
# **Density of states at the Fermi level**: 7.312 states/eV per cell
# **ΔH_f (0 K)**: -15 kJ/mol of atoms
data_NbNiRu
_cell_length_a 4.6496
_cell_length_b 4.6591
_cell_length_c 5.1050
_cell_angle_alpha 105.18
_cell_angle_beta 101.88
_cell_angle_gamma 117.82
_symmetry_space_group_name_H-M 'P 1'
_symmetry_Int_Tables_number 1
loop_
_symmetry_equiv_pos_as_xyz
'x,y,z'
loop_
_atom_site_label
_atom_site_type_symbol
_atom_site_fract_x
_atom_site_fract_y
_atom_site_fract_z
_atom_site_occupancy
Nb1 Nb 0.0000 0.0000 0.0000 1
Nb2 Nb 0.2497 0.7551 0.5069 1
Ni1 Ni 0.6747 0.3350 0.9629 1
Ni2 Ni 0.9357 0.1229 0.5415 1
Ru1 Ru 0.3709 0.7052 0.0324 1
Ru2 Ru 0.5746 0.4184 0.4629 1

# GGA-PBE NbNi2Ru2, optimized geometry
# **Density of states at the Fermi level**: 12.744 states/eV per cell
# **ΔH_f (0 K)**: 21 kJ/mol of atoms
data_NbNi2Ru2
_cell_length_a 3.5639
_cell_length_b 3.5639
_cell_length_c 11.3255
_cell_angle_alpha 90.00
_cell_angle_beta 90.00
_cell_angle_gamma 90.00
_symmetry_space_group_name_H-M 'I 4/m m m'
_symmetry_Int_Tables_number 139
_symmetry_space_group_name_Hall '-I 4 2'
loop_
_atom_site_label
_atom_site_type_symbol
_atom_site_fract_x
_atom_site_fract_y
_atom_site_fract_z
_atom_site_occupancy
Nb1 Nb 0.0000 0.0000 0.0000 1
Ni1 Ni 0.0000 0.0000 0.4026 1
Ru1 Ru 0.0000 0.5000 0.2500 1

# GGA-PBE Nb2NiRu, optimized geometry
# **Density of states at the Fermi level**: 20.542 states/eV per cell
# **ΔH_f (0 K)**: 28 kJ/mol of atoms
data_Nb2NiRu
_cell_length_a 6.9515
_cell_length_b 6.9515
_cell_length_c 5.4298
_cell_angle_alpha 90.00
_cell_angle_beta 90.00
_cell_angle_gamma 90.00
_symmetry_space_group_name_H-M 'I -4 2 d'
_symmetry_Int_Tables_number 122
_symmetry_space_group_name_Hall 'I -4 2bw'
loop_
_atom_site_label
_atom_site_type_symbol
_atom_site_fract_x
_atom_site_fract_y
_atom_site_fract_z
_atom_site_occupancy
Nb1 Nb 0.2463 0.2500 0.1250 1
Ni1 Ni 0.0000 0.0000 0.0000 1
Ru1 Ru 0.0000 0.0000 0.5000 1

# GGA-PBE NbNiRu, optimized geometry
# **Density of states at the Fermi level**: 4.959 states/eV per cell
# **ΔH_f (0 K)**: -13 kJ/mol of atoms
data_NbNiRu
_cell_length_a 4.3556
_cell_length_b 3.1407
_cell_length_c 6.7228
_cell_angle_alpha 90.00
_cell_angle_beta 108.75
_cell_angle_gamma 90.00
_symmetry_space_group_name_H-M 'P 1 m 1'
_symmetry_Int_Tables_number 6
loop_
_symmetry_equiv_pos_as_xyz
'x,y,z'
'x,-y,z'
loop_
_atom_site_label
_atom_site_type_symbol
_atom_site_fract_x
_atom_site_fract_y
_atom_site_fract_z
_atom_site_occupancy
Nb1 Nb 0.0000 0.0000 0.0000 1
Nb2 Nb 0.3177 0.0000 0.6089 1
Ni1 Ni 0.0108 0.5000 0.3011 1
Ni2 Ni 0.4837 0.5000 0.9483 1
Ru1 Ru 0.5407 0.0000 0.2926 1
Ru2 Ru 0.8436 0.5000 0.6566 1

# GGA-PBE NbNiRu, optimized geometry
# **Density of states at the Fermi level**: 5.743 states/eV per cell
# **ΔH_f (0 K)**: -9 kJ/mol of atoms
data_NbNiRu
_cell_length_a 4.5967
_cell_length_b 2.8288
_cell_length_c 6.6481
_cell_angle_alpha 90.00
_cell_angle_beta 92.02
_cell_angle_gamma 90.00
_symmetry_space_group_name_H-M 'P 1 m 1'
_symmetry_Int_Tables_number 6
loop_
_symmetry_equiv_pos_as_xyz
'x,y,z'
'x,-y,z'
loop_
_atom_site_label
_atom_site_type_symbol
_atom_site_fract_x
_atom_site_fract_y
_atom_site_fract_z
_atom_site_occupancy
Nb1 Nb 0.0000 0.0000 0.0000 1
Nb2 Nb 0.3730 0.0000 0.6457 1
Ni1 Ni 0.1929 0.5000 0.3154 1
Ni2 Ni 0.5071 0.5000 0.9921 1
Ru1 Ru 0.6846 0.0000 0.3138 1
Ru2 Ru 0.8655 0.5000 0.6411 1

# GGA-PBE NbNiRu, optimized geometry
# **Density of states at the Fermi level**: 10.152 states/eV per cell
# **ΔH_f (0 K)**: -17 kJ/mol of atoms
data_NbNiRu
_cell_length_a 8.6856
_cell_length_b 3.8894
_cell_length_c 5.3581
_cell_angle_alpha 90.00
_cell_angle_beta 107.31
_cell_angle_gamma 90.00
_symmetry_space_group_name_H-M 'C 1 m 1'
_symmetry_Int_Tables_number 8
loop_
_symmetry_equiv_pos_as_xyz
'x,y,z'
'x,-y,z'
'x+1/2,y+1/2,z'
'x+1/2,-y+1/2,z'
loop_
_atom_site_label
_atom_site_type_symbol
_atom_site_fract_x
_atom_site_fract_y
_atom_site_fract_z
_atom_site_occupancy
Nb1 Nb 0.0000 0.0000 0.0000 1
Nb2 Nb 0.2028 0.5000 0.3775 1
Ni1 Ni 0.0247 0.0000 0.5129 1
Ni2 Ni 0.3563 0.0000 0.1956 1
Ru1 Ru 0.1774 0.5000 0.8711 1
Ru2 Ru 0.3515 0.0000 0.6892 1

# GGA-PBE Nb2NiRu, optimized geometry
# **Density of states at the Fermi level**: 4.696 states/eV per cell
# **ΔH_f (0 K)**: -12 kJ/mol of atoms
data_Nb2NiRu
_cell_length_a 2.9092
_cell_length_b 2.9092
_cell_length_c 7.2942
_cell_angle_alpha 90.00
_cell_angle_beta 90.00
_cell_angle_gamma 90.00
_symmetry_space_group_name_H-M 'P 4/m m m'
_symmetry_Int_Tables_number 123
_symmetry_space_group_name_Hall '-P 4 2'
loop_
_atom_site_label
_atom_site_type_symbol
_atom_site_fract_x
_atom_site_fract_y
_atom_site_fract_z
_atom_site_occupancy
Nb1 Nb 0.0000 0.0000 0.2478 1
Ni1 Ni 0.5000 0.5000 0.0000 1
Ru1 Ru 0.5000 0.5000 0.5000 1

# GGA-PBE NbNiRu, optimized geometry
# **Density of states at the Fermi level**: 9.499 states/eV per cell
# **ΔH_f (0 K)**: -20 kJ/mol of atoms
data_NbNiRu
_cell_length_a 8.2072
_cell_length_b 4.0334
_cell_length_c 5.3503
_cell_angle_alpha 90.00
_cell_angle_beta 102.50
_cell_angle_gamma 90.00
_symmetry_space_group_name_H-M 'C 1 m 1'
_symmetry_Int_Tables_number 8
loop_
_symmetry_equiv_pos_as_xyz
'x,y,z'
'x,-y,z'
'x+1/2,y+1/2,z'
'x+1/2,-y+1/2,z'
loop_
_atom_site_label
_atom_site_type_symbol
_atom_site_fract_x
_atom_site_fract_y
_atom_site_fract_z
_atom_site_occupancy
Nb1 Nb 0.0000 0.0000 0.0000 1
Nb2 Nb 0.2094 0.5000 0.3995 1
Ni1 Ni 0.1774 0.5000 0.8741 1
Ni2 Ni 0.3591 0.0000 0.7065 1
Ru1 Ru 0.0356 0.0000 0.5210 1
Ru2 Ru 0.3440 0.0000 0.1914 1

# GGA-PBE NbNi2Ru2, optimized geometry
# **Density of states at the Fermi level**: 11.347 states/eV per cell
# **ΔH_f (0 K)**: 11 kJ/mol of atoms
data_NbNi2Ru2
_cell_length_a 7.0689
_cell_length_b 7.0689
_cell_length_c 2.7758
_cell_angle_alpha 90.00
_cell_angle_beta 90.00
_cell_angle_gamma 90.00
_symmetry_space_group_name_H-M 'P 4/m b m'
_symmetry_Int_Tables_number 127
_symmetry_space_group_name_Hall '-P 4 2ab'
loop_
_atom_site_label
_atom_site_type_symbol
_atom_site_fract_x
_atom_site_fract_y
_atom_site_fract_z
_atom_site_occupancy
Nb1 Nb 0.0000 0.0000 0.0000 1
Ni1 Ni 0.1695 0.3305 0.5000 1
Ru1 Ru 0.1272 0.6272 0.0000 1

# GGA-PBE NbNiRu, optimized geometry
# **Density of states at the Fermi level**: 13.882 states/eV per cell
# **ΔH_f (0 K)**: -7 kJ/mol of atoms
data_NbNiRu
_cell_length_a 8.3728
_cell_length_b 4.5726
_cell_length_c 5.4044
_cell_angle_alpha 90.00
_cell_angle_beta 122.07
_cell_angle_gamma 90.00
_symmetry_space_group_name_H-M 'C 1 2/m 1'
_symmetry_Int_Tables_number 12
loop_
_symmetry_equiv_pos_as_xyz
'x,y,z'
'-x,-y,-z'
'-x,y,-z'
'x,-y,z'
'x+1/2,y+1/2,z'
'-x+1/2,-y+1/2,-z'
'-x+1/2,y+1/2,-z'
'x+1/2,-y+1/2,z'
loop_
_atom_site_label
_atom_site_type_symbol
_atom_site_fract_x
_atom_site_fract_y
_atom_site_fract_z
_atom_site_occupancy
Nb1 Nb 0.1874 0.0000 0.2570 1
Ni1 Ni 0.1504 0.0000 0.7288 1
Ru1 Ru 0.0033 0.5000 0.2339 1

# GGA-PBE NbNiRu, optimized geometry
# **Density of states at the Fermi level**: 12.705 states/eV per cell
# **ΔH_f (0 K)**: -17 kJ/mol of atoms
data_NbNiRu
_cell_length_a 4.8646
_cell_length_b 6.9577
_cell_length_c 5.1361
_cell_angle_alpha 90.00
_cell_angle_beta 90.00
_cell_angle_gamma 90.00
_symmetry_space_group_name_H-M 'I m a 2'
_symmetry_Int_Tables_number 46
loop_
_symmetry_equiv_pos_as_xyz
'x,y,z'
'-x,-y,z'
'-x+1/2,y,z'
'x+1/2,-y,z'
'x+1/2,y+1/2,z+1/2'
'-x+1/2,-y+1/2,z+1/2'
'-x,y+1/2,z+1/2'
'x,-y+1/2,z+1/2'
loop_
_atom_site_label
_atom_site_type_symbol
_atom_site_fract_x
_atom_site_fract_y
_atom_site_fract_z
_atom_site_occupancy
Nb1 Nb 0.2500 0.1289 0.0000 1
Ni1 Ni 0.0000 0.0000 0.4475 1
Ru1 Ru 0.2500 0.7101 0.2795 1

# GGA-PBE NbNiRu2, optimized geometry
# **Density of states at the Fermi level**: 21.255 states/eV per cell
# **ΔH_f (0 K)**: 33 kJ/mol of atoms
data_NbNiRu2
_cell_length_a 3.7905
_cell_length_b 3.7905
_cell_length_c 17.4444
_cell_angle_alpha 90.00
_cell_angle_beta 90.00
_cell_angle_gamma 90.00
_symmetry_space_group_name_H-M 'I -4 2 d'
_symmetry_Int_Tables_number 122
_symmetry_space_group_name_Hall 'I -4 2bw'
loop_
_atom_site_label
_atom_site_type_symbol
_atom_site_fract_x
_atom_site_fract_y
_atom_site_fract_z
_atom_site_occupancy
Nb1 Nb 0.0000 0.0000 0.0000 1
Ni1 Ni 0.0000 0.0000 0.5000 1
Ru1 Ru 0.2027 0.2500 0.6250 1

# GGA-PBE NbNiRu3, optimized geometry
# **Density of states at the Fermi level**: 5.446 states/eV per cell
# **ΔH_f (0 K)**: 174 kJ/mol of atoms
data_NbNiRu3
_cell_length_a 4.6771
_cell_length_b 4.6771
_cell_length_c 4.6771
_cell_angle_alpha 90.00
_cell_angle_beta 90.00
_cell_angle_gamma 90.00
_symmetry_space_group_name_H-M 'P m -3 m'
_symmetry_Int_Tables_number 221
_symmetry_space_group_name_Hall '-P 4 2 3'
loop_
_atom_site_label
_atom_site_type_symbol
_atom_site_fract_x
_atom_site_fract_y
_atom_site_fract_z
_atom_site_occupancy
Nb1 Nb 0.0000 0.0000 0.0000 1
Ni1 Ni 0.5000 0.5000 0.5000 1
Ru1 Ru 0.0000 0.0000 0.5000 1

# GGA-PBE NbNiRu, optimized geometry
# **Density of states at the Fermi level**: 22.967 states/eV per cell
# **ΔH_f (0 K)**: -2 kJ/mol of atoms
data_NbNiRu
_cell_length_a 8.3606
_cell_length_b 10.7419
_cell_length_c 5.9225
_cell_angle_alpha 90.00
_cell_angle_beta 90.00
_cell_angle_gamma 90.00
_symmetry_space_group_name_H-M 'I m a 2'
_symmetry_Int_Tables_number 46
loop_
_symmetry_equiv_pos_as_xyz
'x,y,z'
'-x,-y,z'
'-x+1/2,y,z'
'x+1/2,-y,z'
'x+1/2,y+1/2,z+1/2'
'-x+1/2,-y+1/2,z+1/2'
'-x,y+1/2,z+1/2'
'x,-y+1/2,z+1/2'
loop_
_atom_site_label
_atom_site_type_symbol
_atom_site_fract_x
_atom_site_fract_y
_atom_site_fract_z
_atom_site_occupancy
Nb1 Nb 0.0022 0.1751 0.0000 1
Nb2 Nb 0.2500 0.5574 0.9443 1
Ni1 Ni 0.0000 0.0000 0.2564 1
Ni2 Ni 0.0624 0.1028 0.6175 1
Ru1 Ru 0.2500 0.2121 0.2885 1
Ru2 Ru 0.2500 0.5046 0.4587 1
Ru3 Ru 0.2500 0.7377 0.2174 1

# GGA-PBE Nb3NiRu, optimized geometry
# **Density of states at the Fermi level**: 6.675 states/eV per cell
# **ΔH_f (0 K)**: 120 kJ/mol of atoms
data_Nb3NiRu
_cell_length_a 4.7569
_cell_length_b 4.7569
_cell_length_c 4.7569
_cell_angle_alpha 90.00
_cell_angle_beta 90.00
_cell_angle_gamma 90.00
_symmetry_space_group_name_H-M 'P m -3 m'
_symmetry_Int_Tables_number 221
_symmetry_space_group_name_Hall '-P 4 2 3'
loop_
_atom_site_label
_atom_site_type_symbol
_atom_site_fract_x
_atom_site_fract_y
_atom_site_fract_z
_atom_site_occupancy
Nb1 Nb 0.0000 0.0000 0.5000 1
Ni1 Ni 0.5000 0.5000 0.5000 1
Ru1 Ru 0.0000 0.0000 0.0000 1